Pm6SmEr2 | GGA-PBE | optimized geometry

Cell: 16.4365 11.7882 6.2224 Å, 90.00 96.09 90.00°
With the nearest neighbours (Å) after each atom.
Space group C2/c (No. 15)
One atom of each set of equivalent atoms:
1 Pm 0.0475 0.1398 0.0143  4 Pm 3.36-3.64, 3 Er 3.42-3.53, 1 Sm 3.54
2 Pm 0.1216 0.3594 0.3188  4 Pm 3.36-3.67, 2 Sm 3.46-3.55, 2 Er 3.52-3.53
3 Pm 0.2165 0.3586 0.8461  4 Pm 3.32-3.67, 3 Er 3.43-3.52, 1 Sm 3.58
4 Sm 0.0000 0.4009 0.7500  8 Pm 3.46-3.58
5 Er 0.1658 0.0991 0.5854  8 Pm 3.42-3.53

Results
Calculated total energy ... -4.62 eV/atom
ΔE_f ... 85 meV/atom
M_tot ... 0.000 μB per formula unit